Material: LiCaSn2Pt4
Method: DFT, PBE
State: relaxed

Calculated volume in Å³/cell: 149
ΔH_f (0 K) in meV per atom: -670
Total magnetic moment in μB/f.u.: 0.00
SG: R-3m (166)
Total energy in eV/atom: -5.181

Cell and atoms, written as extended XYZ:
```
8
Lattice="-3.1604 -1.0142 3.0681 -3.2305 -3.0021 -0.9906 2.7414 -7.5584 3.6547" Properties=species:S:1:pos:R:3 pbc="T T T"
Pt 0.7985 -5.0780 2.4734
Pt -4.4480 -6.4967 3.2588
Pt -3.2506 -3.9669 1.9991
Pt -0.3989 -7.6078 3.7331
Li -1.8247 -5.7873 2.8661
Sn -2.8491 -8.5380 4.2310
Sn -0.8004 -3.0367 1.5012
Ca 0.0000 0.0000 0.0000
```